# 1
Entry from OQMD via LeMat-Bulk: a relaxed structure of MgUNi (GGA-PBE).

## Properties
- DFT total energy (eV per atom) = -4.952
- mass density (g/cm³) = 7.5
- space group = F-43m, No. 216

Lattice parameters (Å, degrees): 4.6558 4.6558 4.6558 60.00 60.00 60.00
Closest atoms and distances in Å follow each position.
Fractional positions:
Mg 0.0000 0.0000 0.0000  4 U 2.85
U 0.2500 0.2500 0.2500  4 Mg 2.85, 4 Ni 2.85
Ni 0.5000 0.5000 0.5000  4 U 2.85

=====

# 2
Entry from OQMD via LeMat-Bulk: a relaxed structure of MgZnNiW (GGA-PBE).

## Properties
- DFT total energy (eV per atom) = -4.867
- mass density (g/cm³) = 9.5
- space group = F-43m, No. 216

Lattice parameters (Å, degrees): 4.3427 4.3427 4.3427 60.00 60.00 60.00
Closest atoms and distances in Å follow each position.
Fractional positions:
Mg 0.0000 0.0000 0.0000  4 W 2.66, 4 Zn 2.66
Zn 0.2500 0.2500 0.2500  4 Mg 2.66, 4 Ni 2.66
Ni 0.5000 0.5000 0.5000  4 W 2.66, 4 Zn 2.66
W 0.7500 0.7500 0.7500  4 Ni 2.66, 4 Mg 2.66

=====

# 3
Entry from OQMD via LeMat-Bulk: a relaxed structure of YMgNi (GGA-PBE).

## Properties
- DFT total energy (eV per atom) = -4.851
- mass density (g/cm³) = 4.6
- space group = C2/m, No. 12

Lattice parameters (Å, degrees): 5.4081 5.4081 7.3569 119.83 119.83 42.70
Closest atoms and distances in Å follow each position.
Fractional positions:
Y 0.0738 0.0738 0.3379  5 Ni 2.87-2.95
Y 0.9262 0.9262 0.6621  5 Ni 2.87-2.95
Mg 0.3175 0.3175 0.9203  3 Ni 2.68-2.84, 2 Mg 2.97
Mg 0.6825 0.6825 0.0797  3 Ni 2.68-2.84, 2 Mg 2.97
Ni 0.3666 0.3666 0.3382  1 Ni 2.46, 2 Mg 2.68
Ni 0.6334 0.6334 0.6618  1 Ni 2.46, 2 Mg 2.68

=====

# 4
Entry from OQMD via LeMat-Bulk: a relaxed structure of YMg2Ni (GGA-PBE).

## Properties
- DFT total energy (eV per atom) = -3.871
- mass density (g/cm³) = 4.0
- space group = F-43m, No. 216

Lattice parameters (Å, degrees): 4.8472 4.8472 4.8472 60.00 60.00 60.00
Closest atoms and distances in Å follow each position.
Fractional positions:
Y 0.0000 0.0000 0.0000  4 Ni 2.97, 4 Mg 2.97
Mg 0.2500 0.2500 0.2500  4 Mg 2.97, 4 Y 2.97
Mg 0.5000 0.5000 0.5000  4 Ni 2.97, 4 Mg 2.97
Ni 0.7500 0.7500 0.7500  4 Mg 2.97, 4 Y 2.97

=====

# 5
Entry from OQMD via LeMat-Bulk: a relaxed structure of Y2Mg3Ni2 (GGA-PBE).

## Properties
- DFT total energy (eV per atom) = -4.383
- mass density (g/cm³) = 4.0
- space group = Cmmm, No. 65

Lattice parameters (Å, degrees): 10.6593 10.6593 3.6492 90.00 90.00 158.64
Closest atoms and distances in Å follow each position.
Fractional positions:
Y 0.1766 0.8234 0.0000  6 Ni 2.80-2.94
Y 0.8234 0.1766 0.0000  6 Ni 2.80-2.94
Mg 0.0000 0.0000 0.0000  8 Mg 3.17
Mg 0.4198 0.5802 0.5000  1 Ni 2.79
Mg 0.5802 0.4198 0.5000  1 Ni 2.79
Ni 0.2867 0.7133 0.5000  2 Ni 2.50, 1 Mg 2.79, 4 Y 2.80
Ni 0.7133 0.2867 0.5000  2 Ni 2.50, 1 Mg 2.79, 4 Y 2.80

=====

# 6
Entry from OQMD via LeMat-Bulk: a relaxed structure of YMgNi (GGA-PBE).

## Properties
- DFT total energy (eV per atom) = -3.995
- mass density (g/cm³) = 4.0
- space group = F-43m, No. 216

Lattice parameters (Å, degrees): 4.6723 4.6723 4.6723 60.00 60.00 60.00
Closest atoms and distances in Å follow each position.
Fractional positions:
Y 0.0000 0.0000 0.0000  4 Mg 2.86, 4 Ni 2.86
Mg 0.7500 0.7500 0.7500  4 Y 2.86
Ni 0.2500 0.2500 0.2500  4 Y 2.86

=====

# 7
Entry from OQMD via LeMat-Bulk: a relaxed structure of YMg2Ni (GGA-PBE).

## Properties
- DFT total energy (eV per atom) = -3.870
- mass density (g/cm³) = 4.1
- space group = F-43m, No. 216

Lattice parameters (Å, degrees): 4.8407 4.8407 4.8407 60.00 60.00 60.00
Closest atoms and distances in Å follow each position.
Fractional positions:
Y 0.0000 0.0000 0.0000  4 Mg 2.96, 4 Ni 2.96
Mg 0.5000 0.5000 0.5000  4 Ni 2.96, 4 Mg 2.96
Mg 0.7500 0.7500 0.7500  4 Mg 2.96, 4 Y 2.96
Ni 0.2500 0.2500 0.2500  4 Mg 2.96, 4 Y 2.96

=====

# 8
Entry from OQMD via LeMat-Bulk: a relaxed structure of YMgZnNi (GGA-PBE).

## Properties
- DFT total energy (eV per atom) = -3.611
- mass density (g/cm³) = 3.6
- space group = Cmm2, No. 35

Lattice parameters (Å, degrees): 9.1017 9.1017 4.9007 90.00 90.00 147.40
Closest atoms and distances in Å follow each position.
Fractional positions:
Y 0.1475 0.8525 0.0000  3 Ni 2.62-2.73
Y 0.8525 0.1475 0.0000  3 Ni 2.62-2.73
Mg 0.3107 0.6893 0.5250  2 Ni 2.46-2.47
Mg 0.6893 0.3107 0.5250  2 Ni 2.46-2.47
Zn 0.4320 0.5680 0.0767  1 Ni 2.37, 1 Zn 2.38
Zn 0.5680 0.4320 0.0767  1 Ni 2.37, 1 Zn 2.38
Ni 0.2971 0.7029 0.0259  1 Zn 2.37, 2 Mg 2.46-2.47, 1 Y 2.62
Ni 0.7029 0.2971 0.0259  1 Zn 2.37, 2 Mg 2.46-2.47, 1 Y 2.62

=====

# 9
Entry from OQMD via LeMat-Bulk: a relaxed structure of Mg2ZnNi3 (GGA-PBE).

## Properties
- DFT total energy (eV per atom) = -3.772
- mass density (g/cm³) = 5.8
- space group = P6_3/mmc, No. 194

Lattice parameters (Å, degrees): 4.9744 4.9744 7.7208 90.00 90.00 120.00
Closest atoms and distances in Å follow each position.
Fractional positions:
Mg 0.3333 0.6667 0.0656  9 Ni 2.80-2.87, 4 Mg 2.85-3.05, 3 Zn 2.92
Mg 0.3333 0.6667 0.4344  9 Ni 2.80-2.87, 4 Mg 2.85-3.05, 3 Zn 2.92
Mg 0.6667 0.3333 0.5656  9 Ni 2.80-2.87, 4 Mg 2.85-3.05, 3 Zn 2.92
Mg 0.6667 0.3333 0.9344  9 Ni 2.80-2.87, 4 Mg 2.85-3.05, 3 Zn 2.92
Zn 0.0000 0.0000 0.0000  6 Ni 2.44
Zn 0.0000 0.0000 0.5000  6 Ni 2.44
Ni 0.1725 0.3449 0.7500  4 Ni 2.40-2.57, 2 Zn 2.44
Ni 0.1725 0.8275 0.7500  4 Ni 2.40-2.57, 2 Zn 2.44
Ni 0.3449 0.1725 0.2500  4 Ni 2.40-2.57, 2 Zn 2.44
Ni 0.6551 0.8275 0.7500  4 Ni 2.40-2.57, 2 Zn 2.44
Ni 0.8275 0.1725 0.2500  4 Ni 2.40-2.57, 2 Zn 2.44
Ni 0.8275 0.6551 0.2500  4 Ni 2.40-2.57, 2 Zn 2.44

=====

# 10
Entry from OQMD via LeMat-Bulk: a relaxed structure of MgZnNi (GGA-PBE).

## Properties
- DFT total energy (eV per atom) = -3.072
- mass density (g/cm³) = 5.6
- space group = Imma, No. 74

Lattice parameters (Å, degrees): 4.9491 4.9491 4.9491 119.75 117.60 92.32
Closest atoms and distances in Å follow each position.
Fractional positions:
Mg 0.3839 0.1339 0.2500  6 Ni 2.82-2.94, 6 Zn 2.91-2.96, 4 Mg 2.95-3.15
Mg 0.6161 0.8661 0.7500  6 Ni 2.82-2.94, 6 Zn 2.91-2.96, 4 Mg 2.95-3.15
Zn 0.0000 0.0000 0.5000  4 Ni 2.47, 2 Zn 2.48
Zn 0.0000 0.5000 0.0000  4 Ni 2.47, 2 Zn 2.48
Ni 0.0000 0.5000 0.5000  4 Zn 2.47, 2 Ni 2.56
Ni 0.5000 0.5000 0.0000  4 Zn 2.47, 2 Ni 2.56

=====

# 11
Entry from OQMD via LeMat-Bulk: a relaxed structure of MgNp (GGA-PBE).

## Properties
- DFT total energy (eV per atom) = -6.979
- mass density (g/cm³) = 10.4
- space group = Pmmn, No. 59

Lattice parameters (Å, degrees): 4.4426 14.9773 4.9952 90.00 90.00 90.00
Closest atoms and distances in Å follow each position.
Fractional positions:
Mg 0.2500 0.1372 0.2338  4 Mg 2.81-3.07, 3 Np 3.03-3.07
Mg 0.2500 0.2500 0.7196  6 Mg 2.96-3.13
Mg 0.2500 0.3628 0.2338  4 Mg 2.81-3.07, 3 Np 3.03-3.07
Mg 0.2500 0.7500 0.8393  6 Mg 2.81-3.13
Mg 0.7500 0.2500 0.1607  6 Mg 2.81-3.13
Mg 0.7500 0.6372 0.7662  4 Mg 2.81-3.07, 3 Np 3.03-3.07
Mg 0.7500 0.7500 0.2804  6 Mg 2.96-3.13
Mg 0.7500 0.8628 0.7662  4 Mg 2.81-3.07, 3 Np 3.03-3.07
Np 0.2500 0.0041 0.7780  3 Np 2.49-2.51
Np 0.2500 0.4959 0.7780  3 Np 2.49-2.51
Np 0.2500 0.5724 0.3361  3 Np 2.49-2.51
Np 0.2500 0.9276 0.3361  3 Np 2.49-2.51
Np 0.7500 0.0724 0.6639  3 Np 2.49-2.51
Np 0.7500 0.4276 0.6639  3 Np 2.49-2.51
Np 0.7500 0.5041 0.2220  3 Np 2.49-2.51
Np 0.7500 0.9959 0.2220  3 Np 2.49-2.51

=====

# 12
Entry from OQMD via LeMat-Bulk: a relaxed structure of MgNp (GGA-PBE).

## Properties
- DFT total energy (eV per atom) = -6.891
- mass density (g/cm³) = 10.1
- space group = Pmmn, No. 59

Lattice parameters (Å, degrees): 5.1756 6.6663 9.9722 90.00 90.00 90.00
Closest atoms and distances in Å follow each position.
Fractional positions:
Mg 0.2500 0.0166 0.1143  5 Mg 2.96-3.11, 2 Np 3.24
Mg 0.2500 0.4834 0.1143  5 Mg 2.96-3.11, 2 Np 3.24
Mg 0.2500 0.7500 0.3576  2 Mg 3.01, 8 Np 3.03-3.09
Mg 0.2500 0.7500 0.8766  6 Mg 2.96-3.02, 2 Np 3.20
Mg 0.7500 0.2500 0.1234  6 Mg 2.96-3.02, 2 Np 3.20
Mg 0.7500 0.2500 0.6424  2 Mg 3.01, 8 Np 3.03-3.09
Mg 0.7500 0.5166 0.8857  5 Mg 2.96-3.11, 2 Np 3.24
Mg 0.7500 0.9834 0.8857  5 Mg 2.96-3.11, 2 Np 3.24
Np 0.2500 0.0176 0.6102  2 Np 2.45-2.50
Np 0.2500 0.2500 0.4199  2 Np 2.45
Np 0.2500 0.2500 0.8069  2 Np 2.50
Np 0.2500 0.4824 0.6102  2 Np 2.45-2.50
Np 0.7500 0.5176 0.3898  2 Np 2.45-2.50
Np 0.7500 0.7500 0.1931  2 Np 2.50
Np 0.7500 0.7500 0.5801  2 Np 2.45
Np 0.7500 0.9824 0.3898  2 Np 2.45-2.50